Below is crystalline Ag2H6PtRh at its relaxed geometry, with properties calculated at the GGA-PBE level.

```
Ag2H6PtRh
1.0
-2.495 2.515 3.546
2.495 -2.515 3.546
2.495 2.515 -3.546
Ag H Pt Rh
2 6 1 1
Direct
0.250 0.250 0.000 Ag
0.750 0.750 0.000 Ag
0.251 0.249 0.500 H
0.251 0.751 0.002 H
0.251 0.751 0.500 H
0.749 0.249 0.500 H
0.749 0.249 0.998 H
0.749 0.751 0.500 H
0.000 0.500 0.500 Pt
0.500 0.000 0.500 Rh
```

Summary:
Space group: Immm

=====

Below is crystalline AgHPtRh2 at its relaxed geometry, with properties calculated at the GGA-PBE level.

```
AgHPtRh2
1.0
3.996 0.000 0.000
0.000 3.996 0.000
0.000 0.000 4.008
Ag H Pt Rh
1 1 1 2
Direct
0.000 0.000 0.000 Ag
0.500 0.500 0.500 H
0.500 0.500 0.000 Pt
0.000 0.500 0.500 Rh
0.500 0.000 0.500 Rh
```

Summary:
Space group: P4/mmm

=====

Below is crystalline AgHPtRh2 at its relaxed geometry, with properties calculated at the GGA-PBE level.

```
AgHPtRh2
1.0
3.942 0.000 0.000
0.000 3.942 0.000
0.000 0.000 4.110
Ag H Pt Rh
1 1 1 2
Direct
0.000 0.000 0.000 Ag
0.000 0.000 0.500 H
0.500 0.500 0.000 Pt
0.000 0.500 0.500 Rh
0.500 0.000 0.500 Rh
```

Summary:
Space group: P4/mmm

=====

Below is crystalline AgHPtRhS at its relaxed geometry, with properties calculated at the GGA-PBE level.

```
AgHPtRhS
1.0
3.191 0.000 0.000
-1.595 2.763 0.000
0.000 0.000 8.262
Ag H Pt Rh S
1 1 1 1 1
Direct
0.000 0.000 0.000 Ag
0.000 0.000 0.702 H
0.333 0.667 0.727 Pt
0.667 0.333 0.462 Rh
0.000 0.000 0.308 S
```

Summary:
Space group: P3m1

=====

Below is crystalline AgHPtRhS at its relaxed geometry, with properties calculated at the GGA-PBE level.

```
AgHPtRhS
1.0
4.801 0.000 0.000
0.000 3.017 0.000
-0.091 0.000 5.265
Ag H Pt Rh S
1 1 1 1 1
Direct
0.000 0.000 0.000 Ag
0.699 0.500 0.170 H
0.500 0.500 0.869 Pt
0.487 0.000 0.325 Rh
0.225 0.500 0.520 S
```

Summary:
Space group: Pm

=====

Below is crystalline AgHPtRhS at its relaxed geometry, with properties calculated at the GGA-PBE level.

```
AgHPtRhS
1.0
3.907 -1.488 0.000
3.907 1.488 0.000
-1.095 0.000 6.174
Ag H Pt Rh S
1 1 1 1 1
Direct
0.000 0.000 0.000 Ag
0.734 0.734 0.991 H
0.757 0.757 0.275 Pt
0.669 0.669 0.694 Rh
0.361 0.361 0.568 S
```

Summary:
Space group: Cm

=====

Below is crystalline AgHPtRhS at its relaxed geometry, with properties calculated at the GGA-PBE level.

```
AgHPtRhS
1.0
2.960 0.000 0.000
0.058 5.276 0.000
1.478 2.438 4.743
Ag H Pt Rh S
1 1 1 1 1
Direct
0.000 0.000 0.000 Ag
0.288 0.282 0.417 H
0.473 0.469 0.042 Pt
0.743 0.467 0.501 Rh
0.164 0.699 0.651 S
```

Summary:
Space group: P1

=====

Below is crystalline AgHPtRhS at its relaxed geometry, with properties calculated at the GGA-PBE level.

```
AgHPtRhS
1.0
5.787 -1.460 0.000
5.787 1.460 0.000
-0.743 0.000 4.413
Ag H Pt Rh S
1 1 1 1 1
Direct
0.000 0.000 0.000 Ag
0.994 0.994 0.436 H
0.716 0.716 0.034 Pt
0.393 0.393 0.458 Rh
0.755 0.755 0.555 S
```

Summary:
Space group: Cm

=====

Calculated energy, -3.847 -5.267 -5.248 -4.809 -4.753 -4.702 -4.757 -4.754 eV per atom (same order as the records).